No. 1
This record from Alexandria via LeMat-Bulk describes a geometry-optimized ZrAl2InFe structure. The functional is PBE-GGA.

Lattice parameters (Å, degrees): 4.8746 4.8746 4.6478 90.00 90.00 90.00
With the nearest neighbours (Å) after each atom.
Atoms (fractional coordinates):
Zr (0.0000, 0.0000, 0.0000)  8 Al 3.37, 4 Fe 3.45
Al (0.0000, 0.5000, 0.5000)  2 In 2.44
Al (0.5000, 0.0000, 0.5000)  2 In 2.44
In (0.5000, 0.5000, 0.5000)  2 Fe 2.32, 4 Al 2.44
Fe (0.5000, 0.5000, 0.0000)  2 In 2.32

As for the formation energy from the elements: 1184 meV per atom. The space-group type is No. 123.


No. 2
This record from Alexandria via LeMat-Bulk describes a geometry-optimized GaHg3I structure. The functional is PBE-GGA.

Lattice parameters (Å, degrees): 5.4220 5.4220 5.4220 90.00 90.00 90.00
With the nearest neighbours (Å) after each atom.
Atoms (fractional coordinates):
Ga (0.0000, 0.0000, 0.0000)  6 Hg 2.71
Hg (0.0000, 0.0000, 0.5000)  2 Ga 2.71
Hg (0.0000, 0.5000, 0.0000)  2 Ga 2.71
Hg (0.5000, 0.0000, 0.0000)  2 Ga 2.71
I (0.5000, 0.5000, 0.5000)  12 Hg 3.83

The space-group type is No. 221. The value obtained for the energy above the most stable polymorph in this dataset is 0.17 eV/f.u.


No. 3
This record from Alexandria via LeMat-Bulk describes a geometry-optimized TiPd6Pt structure. The functional is PBE-GGA.

Lattice parameters (Å, degrees): 7.1578 7.1578 7.1578 43.36 43.36 43.36
With the nearest neighbours (Å) after each atom.
Atoms (fractional coordinates):
Ti (0.0000, 0.0000, 0.0000)  6 Pd 2.45
Pd (0.0710, 0.0710, 0.5639)  1 Ti 2.45, 5 Pd 2.61-2.68
Pd (0.0710, 0.5639, 0.0710)  1 Ti 2.45, 5 Pd 2.61-2.68
Pd (0.4361, 0.9290, 0.9290)  1 Ti 2.45, 5 Pd 2.61-2.68
Pd (0.5639, 0.0710, 0.0710)  1 Ti 2.45, 5 Pd 2.61-2.68
Pd (0.9290, 0.4361, 0.9290)  1 Ti 2.45, 5 Pd 2.61-2.68
Pd (0.9290, 0.9290, 0.4361)  1 Ti 2.45, 5 Pd 2.61-2.68
Pt (0.5000, 0.5000, 0.5000)  12 Pd 2.96

As for the formation energy from the elements: 250 meV per atom. The space-group type is No. 166. The value obtained for the energy above the most stable polymorph in this dataset is 4.72 eV/f.u.


No. 4
This record from Alexandria via LeMat-Bulk describes a geometry-optimized TlHCl structure. The functional is PBE-GGA.

Lattice parameters (Å, degrees): 6.3000 6.3000 5.9835 90.37 90.37 35.84
With the nearest neighbours (Å) after each atom.
Atoms (fractional coordinates):
Tl (0.1244, 0.1244, 0.2521)  2 H 1.94
Tl (0.8756, 0.8756, 0.7479)  2 H 1.94
H (0.3708, 0.3708, 0.7465)  2 Tl 1.94
H (0.6292, 0.6292, 0.2535)  2 Tl 1.94
Cl (0.1168, 0.1168, 0.7532)  3 Tl 2.89-3.00, 1 H 3.04
Cl (0.8832, 0.8832, 0.2468)  3 Tl 2.89-3.00, 1 H 3.04

The space-group type is No. 12. The value obtained for the energy above the most stable polymorph in this dataset is 1.23 eV/f.u.


No. 5
This record from Alexandria via LeMat-Bulk describes a geometry-optimized SmSnIrO6 structure. The functional is PBE-GGA.

Lattice parameters (Å, degrees): 5.4615 5.4615 8.9495 90.00 90.00 120.00
With the nearest neighbours (Å) after each atom.
Atoms (fractional coordinates):
Sm (0.3333, 0.6667, 0.2500)  6 O 2.31
Sm (0.6667, 0.3333, 0.7500)  6 O 2.31
Sn (0.0000, 0.0000, 0.0000)  6 O 2.13
Sn (0.0000, 0.0000, 0.5000)  6 O 2.13
Ir (0.3333, 0.6667, 0.7500)  6 O 2.00
Ir (0.6667, 0.3333, 0.2500)  6 O 2.00
O (0.0437, 0.3555, 0.6217)  1 Ir 2.00, 1 Sn 2.13
O (0.0437, 0.6881, 0.8783)  1 Ir 2.00, 1 Sn 2.13
O (0.3119, 0.3555, 0.8783)  1 Ir 2.00, 1 Sn 2.13
O (0.3119, 0.9563, 0.6217)  1 Ir 2.00, 1 Sn 2.13
O (0.3555, 0.0437, 0.1217)  1 Ir 2.00, 1 Sn 2.13
O (0.3555, 0.3119, 0.3783)  1 Ir 2.00, 1 Sn 2.13
O (0.6445, 0.6881, 0.6217)  1 Ir 2.00, 1 Sn 2.13
O (0.6445, 0.9563, 0.8783)  1 Ir 2.00, 1 Sn 2.13
O (0.6881, 0.0437, 0.3783)  1 Ir 2.00, 1 Sn 2.13
O (0.6881, 0.6445, 0.1217)  1 Ir 2.00, 1 Sn 2.13
O (0.9563, 0.3119, 0.1217)  1 Ir 2.00, 1 Sn 2.13
O (0.9563, 0.6445, 0.3783)  1 Ir 2.00, 1 Sn 2.13

The space-group type is No. 163.


No. 6
This record from Alexandria via LeMat-Bulk describes a geometry-optimized La2Hg3Ge2 structure. The functional is PBE-GGA.

Lattice parameters (Å, degrees): 5.8239 5.8239 7.4789 94.49 94.49 46.15
With the nearest neighbours (Å) after each atom.
Atoms (fractional coordinates):
La (0.1225, 0.1225, 0.3145)  5 Ge 3.04-3.36
La (0.8775, 0.8775, 0.6855)  5 Ge 3.04-3.36
Hg (0.1852, 0.1852, 0.8619)  2 Ge 3.10, 5 Hg 3.25-3.44, 3 La 3.41-3.45
Hg (0.5000, 0.5000, 0.0000)  2 Ge 3.23, 6 Hg 3.25-3.44, 4 La 3.46
Hg (0.8148, 0.8148, 0.1381)  2 Ge 3.10, 5 Hg 3.25-3.44, 3 La 3.41-3.45
Ge (0.4050, 0.4050, 0.3983)  1 Ge 2.44
Ge (0.5950, 0.5950, 0.6017)  1 Ge 2.44

As for the formation energy from the elements: -500 meV per atom. The space-group type is No. 12.


Number 1: N(E_F) 1.00 states/eV/atom, E_tot -21.3 eV per formula unit. Number 2: N(E_F) 0.23 states/eV/atom, E_tot -5.8 eV per formula unit. Number 3: N(E_F) 1.06 states/eV/atom, E_tot -43.1 eV per formula unit. Number 4: N(E_F) 0.34 states/eV/atom, E_tot -8.4 eV per formula unit. Number 5: N(E_F) 0.74 states/eV/atom, E_tot -61.7 eV per formula unit. Number 6: N(E_F) 0.48 states/eV/atom, E_tot -23.5 eV per formula unit.